No. 1
TmSn2Pd8 (PBE, optimized geometry); DOS(E_F) = 4.2 states/eV per cell; VASP energy = -59.51 eV for the cell shown; energy of formation from the pure elements = -0.4994 eV/atom
1.0
3.729 -6.194 0.000
3.729 6.194 0.000
-2.195 0.000 4.277
Tm Sn Pd
1 2 8
Direct
0.000 0.000 0.000
0.310 0.690 0.500
0.690 0.310 0.500
0.091 0.321 0.627
0.222 0.778 0.000
0.321 0.091 0.627
0.409 0.409 0.184
0.591 0.591 0.816
0.679 0.909 0.373
0.778 0.222 0.000
0.909 0.679 0.373

***

No. 2
Tm3SnPd (PBE, optimized geometry); DOS(E_F) = 17.3 states/eV per cell; VASP energy = -99.22 eV for the cell shown; energy of formation from the pure elements = -0.4390 eV/atom
1.0
5.860 0.000 0.000
0.000 10.835 0.000
0.000 0.000 8.011
Tm Sn Pd
12 4 4
Direct
0.009 0.102 0.134
0.009 0.398 0.134
0.216 0.250 0.724
0.284 0.750 0.224
0.491 0.602 0.634
0.491 0.898 0.634
0.509 0.102 0.366
0.509 0.398 0.366
0.716 0.250 0.776
0.784 0.750 0.276
0.991 0.602 0.866
0.991 0.898 0.866
0.000 0.000 0.500
0.000 0.500 0.500
0.500 0.000 0.000
0.500 0.500 0.000
0.071 0.750 0.582
0.429 0.250 0.082
0.571 0.750 0.918
0.929 0.250 0.418

***

No. 3
TmSn4Pd7 (PBE, optimized geometry); DOS(E_F) = 5.6 states/eV per cell; VASP energy = -62.66 eV for the cell shown; energy of formation from the pure elements = -0.4853 eV/atom
1.0
5.682 -2.492 0.000
5.682 2.492 0.000
-5.502 0.000 8.277
Tm Sn Pd
1 4 7
Direct
0.000 0.000 0.000
0.264 0.264 0.666
0.410 0.410 0.223
0.590 0.590 0.777
0.736 0.736 0.334
0.070 0.070 0.330
0.218 0.218 0.904
0.359 0.359 0.462
0.500 0.500 0.000
0.641 0.641 0.538
0.782 0.782 0.096
0.930 0.930 0.670

***

No. 4
Tm4Sn2Pd (PBE, optimized geometry); DOS(E_F) = 4.2 states/eV per cell; VASP energy = -35.57 eV for the cell shown; energy of formation from the pure elements = -0.6403 eV/atom
1.0
5.603 -2.279 0.000
5.603 2.279 0.000
-4.572 0.000 7.244
Tm Sn Pd
4 2 1
Direct
0.074 0.074 0.362
0.327 0.327 0.935
0.673 0.673 0.065
0.926 0.926 0.638
0.350 0.350 0.338
0.650 0.650 0.662
0.000 0.000 0.000

***

So what do the calculations give for V? Going down the list: 17.96; 25.43; 19.53; 26.43 Å³ per atom.